[1]
! HfInCuTc PBE optimized geometry; values from VASP
&SYSTEM
  ibrav = 0, nat = 4, ntyp = 4
/
ATOMIC_SPECIES
Cu 63.55 Cu.upf
Hf 178.49 Hf.upf
In 114.82 In.upf
Tc 98.00 Tc.upf
CELL_PARAMETERS angstrom
-0.210 3.158 3.321
0.360 4.453 -1.043
-3.666 2.738 0.334
ATOMIC_POSITIONS angstrom
Cu -2.637 7.762 1.959
Hf -1.758 5.174 1.306
In 0.000 0.000 0.000
Tc -0.879 2.587 0.653
! - calculated total energy (eV per atom) = -6.7249
! - excess energy over the best structure of this formula in the dataset (meV per atom) = 0.0

[2]
! HfInCuTe3 PBE optimized geometry; values from VASP
&SYSTEM
  ibrav = 0, nat = 24, ntyp = 4
/
ATOMIC_SPECIES
Cu 63.55 Cu.upf
Hf 178.49 Hf.upf
In 114.82 In.upf
Te 127.60 Te.upf
CELL_PARAMETERS angstrom
4.124 0.000 0.000
0.000 12.283 0.000
0.000 0.000 12.904
ATOMIC_POSITIONS angstrom
Cu 1.031 9.913 2.849
Cu 3.093 3.771 3.603
Cu 1.031 8.512 9.301
Cu 3.093 2.370 10.055
Hf 3.093 8.308 0.583
Hf 1.031 2.166 5.869
Hf 3.093 10.117 7.035
Hf 1.031 3.976 12.322
In 3.093 11.980 2.510
In 1.031 5.838 3.942
In 3.093 6.445 8.962
In 1.031 0.304 10.394
Te 1.031 10.362 0.264
Te 3.093 5.279 1.151
Te 1.031 2.233 3.083
Te 3.093 8.375 3.369
Te 1.031 11.421 5.301
Te 3.093 4.221 6.188
Te 1.031 8.063 6.716
Te 3.093 0.863 7.604
Te 1.031 3.908 9.535
Te 3.093 10.050 9.821
Te 1.031 7.004 11.753
Te 3.093 1.921 12.640
! - calculated total energy (eV per atom) = -4.6975

[3]
! HfInCuTe3 PBE optimized geometry; values from VASP
&SYSTEM
  ibrav = 0, nat = 24, ntyp = 4
/
ATOMIC_SPECIES
Cu 63.55 Cu.upf
Hf 178.49 Hf.upf
In 114.82 In.upf
Te 127.60 Te.upf
CELL_PARAMETERS angstrom
-6.187 -12.789 6.025
1.899 0.745 3.532
-8.643 5.795 3.425
ATOMIC_POSITIONS angstrom
Cu -2.555 -5.419 6.050
Cu -2.141 2.772 4.100
Cu -10.790 -9.021 8.883
Cu -10.376 -0.830 6.932
Hf -1.204 1.053 1.603
Hf -5.450 -4.569 5.072
Hf -7.480 -1.680 7.910
Hf -11.726 -7.302 11.379
In -4.413 -9.001 5.450
In -4.971 -0.158 3.884
In -7.959 -6.091 9.098
In -8.518 2.752 7.533
Te -4.748 -10.665 8.337
Te -3.026 -4.261 3.704
Te -1.584 0.194 4.344
Te -4.722 -6.171 7.374
Te -8.403 -9.124 7.621
Te -4.854 -2.126 6.592
Te -8.076 -4.123 6.390
Te -4.528 2.876 5.361
Te -8.208 -0.078 5.608
Te -11.346 -6.442 8.638
Te -9.904 -1.988 9.278
Te -8.182 4.416 4.646
! - calculated total energy (eV per atom) = -4.7936

[4]
! HfInCuTe3 PBE optimized geometry; values from VASP
&SYSTEM
  ibrav = 0, nat = 24, ntyp = 4
/
ATOMIC_SPECIES
Cu 63.55 Cu.upf
Hf 178.49 Hf.upf
In 114.82 In.upf
Te 127.60 Te.upf
CELL_PARAMETERS angstrom
10.819 0.000 0.000
0.000 4.067 0.000
0.000 0.000 15.092
ATOMIC_POSITIONS angstrom
Cu 8.125 3.050 3.256
Cu 2.715 3.050 4.290
Cu 8.103 1.017 10.802
Cu 2.694 1.017 11.836
Hf 5.731 1.017 3.734
Hf 0.322 1.017 3.812
Hf 10.497 3.050 11.280
Hf 5.087 3.050 11.358
In 8.349 1.017 0.076
In 2.939 1.017 7.470
In 7.879 3.050 7.622
In 2.470 3.050 15.016
Te 6.088 3.050 1.674
Te 10.385 3.050 1.850
Te 2.921 1.017 2.646
Te 8.330 1.017 4.900
Te 4.976 3.050 5.696
Te 0.679 3.050 5.872
Te 10.139 1.017 9.220
Te 5.843 1.017 9.396
Te 2.488 3.050 10.192
Te 7.898 3.050 12.446
Te 0.433 1.017 13.242
Te 4.730 1.017 13.418
! - calculated total energy (eV per atom) = -4.7908

[5]
! HfInCuTe3 PBE optimized geometry; values from VASP
&SYSTEM
  ibrav = 0, nat = 12, ntyp = 4
/
ATOMIC_SPECIES
Cu 63.55 Cu.upf
Hf 178.49 Hf.upf
In 114.82 In.upf
Te 127.60 Te.upf
CELL_PARAMETERS angstrom
-3.072 1.657 -7.039
2.698 -5.243 5.193
-9.868 -1.059 4.058
ATOMIC_POSITIONS angstrom
Cu -2.858 -1.814 -0.340
Cu -7.384 -2.831 2.552
Hf 0.000 0.000 0.000
Hf -4.934 -0.529 2.029
In -1.177 -3.824 3.222
In -9.065 -0.821 -1.010
Te -1.463 -0.921 -2.358
Te -5.109 0.878 -5.112
Te -5.393 -1.343 -0.741
Te -4.849 -3.302 2.953
Te -5.133 -5.522 7.323
Te -8.779 -3.723 4.569
! - calculated total energy (eV per atom) = -4.7882

[6]
! HfInCuTe3 PBE optimized geometry; values from VASP
&SYSTEM
  ibrav = 0, nat = 12, ntyp = 4
/
ATOMIC_SPECIES
Cu 63.55 Cu.upf
Hf 178.49 Hf.upf
In 114.82 In.upf
Te 127.60 Te.upf
CELL_PARAMETERS angstrom
-6.877 3.907 5.266
-4.846 1.721 7.990
6.070 6.445 0.647
ATOMIC_POSITIONS angstrom
Cu -3.499 4.425 6.159
Cu -2.155 7.649 7.745
Hf -7.355 7.359 11.390
Hf 1.702 4.714 2.514
In -1.013 1.198 1.717
In -4.640 10.875 12.187
Te -5.862 2.814 6.628
Te -2.611 2.901 4.275
Te -5.724 6.160 9.212
Te 3.035 3.223 0.324
Te 0.071 5.913 4.693
Te -3.042 9.172 9.630
! - calculated total energy (eV per atom) = -4.6795

[7]
! HfInCuTe3 PBE optimized geometry; values from VASP
&SYSTEM
  ibrav = 0, nat = 24, ntyp = 4
/
ATOMIC_SPECIES
Cu 63.55 Cu.upf
Hf 178.49 Hf.upf
In 114.82 In.upf
Te 127.60 Te.upf
CELL_PARAMETERS angstrom
8.206 0.000 0.000
0.000 4.451 0.000
0.000 0.000 17.428
ATOMIC_POSITIONS angstrom
Cu 0.802 1.113 2.571
Cu 4.905 1.113 6.143
Cu 3.300 3.338 11.285
Cu 7.403 3.338 14.857
Hf 6.149 1.113 0.864
Hf 2.046 1.113 7.850
Hf 6.160 3.338 9.577
Hf 2.057 3.338 16.564
In 3.220 3.338 3.526
In 7.323 3.338 5.188
In 0.883 1.113 12.240
In 4.986 1.113 13.902
Te 3.047 1.113 0.840
Te 0.004 3.338 1.416
Te 5.587 1.113 3.593
Te 1.484 1.113 5.121
Te 4.107 3.338 7.298
Te 7.150 1.113 7.874
Te 1.056 3.338 9.554
Te 4.099 1.113 10.130
Te 6.722 3.338 12.307
Te 2.619 3.338 13.835
Te 8.202 1.113 16.011
Te 5.159 3.338 16.587
! - calculated total energy (eV per atom) = -4.6288

[8]
! YHfInCu PBE optimized geometry; values from VASP
&SYSTEM
  ibrav = 0, nat = 4, ntyp = 4
/
ATOMIC_SPECIES
Cu 63.55 Cu.upf
Hf 178.49 Hf.upf
In 114.82 In.upf
Y 88.91 Y.upf
CELL_PARAMETERS angstrom
0.000 3.561 3.561
3.561 0.000 3.561
3.561 3.561 0.000
ATOMIC_POSITIONS angstrom
Cu 5.341 5.341 5.341
Hf 1.780 1.780 1.780
In 0.000 0.000 0.000
Y 3.561 3.561 3.561
! - calculated total energy (eV per atom) = -5.4384
! - excess energy over the best structure of this formula in the dataset (meV per atom) = 0.0

[9]
! HfZrIn2Cu2 PBE optimized geometry; values from VASP
&SYSTEM
  ibrav = 0, nat = 24, ntyp = 4
/
ATOMIC_SPECIES
Cu 63.55 Cu.upf
Hf 178.49 Hf.upf
In 114.82 In.upf
Zr 91.22 Zr.upf
CELL_PARAMETERS angstrom
-0.881 -8.407 -2.388
0.446 -1.237 4.191
-11.856 5.047 2.750
ATOMIC_POSITIONS angstrom
Cu 0.000 0.000 0.000
Cu -0.461 -4.201 -1.191
Cu -3.046 -2.510 1.885
Cu -3.488 -6.717 0.690
Cu -6.157 0.439 0.784
Cu -6.601 -3.798 -0.419
Cu -8.772 2.130 3.863
Cu -9.236 -2.103 2.663
Hf -1.754 -1.996 -0.403
Hf -2.199 -6.200 -1.596
Hf -7.468 2.628 1.570
Hf -10.980 -4.086 2.263
In -1.302 -0.514 2.288
In -1.755 -4.717 1.096
In -5.265 -5.990 -1.208
In -4.826 -1.786 -0.014
In -7.910 -4.301 1.873
In -7.469 -0.084 3.071
In -10.538 2.845 1.960
In -10.992 -1.370 0.765
Zr -4.386 -0.304 2.678
Zr -4.830 -4.505 1.486
Zr -7.905 -1.573 0.376
Zr -10.535 0.119 3.457
! - calculated total energy (eV per atom) = -5.4100

[10]
! HfCuIr2 PBE optimized geometry; values from VASP
&SYSTEM
  ibrav = 0, nat = 4, ntyp = 3
/
ATOMIC_SPECIES
Cu 63.55 Cu.upf
Hf 178.49 Hf.upf
Ir 192.22 Ir.upf
CELL_PARAMETERS angstrom
3.215 -2.865 1.127
-0.814 -3.194 2.992
-0.253 -4.251 -1.295
ATOMIC_POSITIONS angstrom
Cu 1.074 -5.155 1.412
Hf 0.537 -2.578 0.706
Ir 0.000 0.000 0.000
Ir 1.611 -7.733 2.118
! - calculated formation energy (eV/f.u.) = -0.8
! - calculated total energy (eV per atom) = -8.0557

[11]
! HfCu2Ir PBE optimized geometry; values from VASP
&SYSTEM
  ibrav = 0, nat = 4, ntyp = 3
/
ATOMIC_SPECIES
Cu 63.55 Cu.upf
Hf 178.49 Hf.upf
Ir 192.22 Ir.upf
CELL_PARAMETERS angstrom
3.464 0.610 2.650
0.002 3.322 2.891
-0.352 -0.832 4.311
ATOMIC_POSITIONS angstrom
Cu 0.000 0.000 0.000
Cu 0.779 0.775 2.463
Hf 1.557 1.550 4.926
Ir 2.336 2.326 7.389
! - calculated formation energy (eV/f.u.) = -1.3
! - calculated total energy (eV per atom) = -6.8750

[12]
! HfCuIr2 PBE optimized geometry; values from VASP
&SYSTEM
  ibrav = 0, nat = 4, ntyp = 3
/
ATOMIC_SPECIES
Cu 63.55 Cu.upf
Hf 178.49 Hf.upf
Ir 192.22 Ir.upf
CELL_PARAMETERS angstrom
-0.315 -0.650 4.392
1.492 3.102 2.822
-2.882 2.394 2.403
ATOMIC_POSITIONS angstrom
Cu -0.426 1.211 2.404
Hf -0.852 2.422 4.808
Ir 0.000 0.000 0.000
Ir -1.278 3.634 7.212
! - calculated formation energy (eV/f.u.) = -0.8
! - calculated total energy (eV per atom) = -8.0556

Please write out number 3 again, unchanged.
! HfInCuTe3 PBE optimized geometry; values from VASP
&SYSTEM
  ibrav = 0, nat = 24, ntyp = 4
/
ATOMIC_SPECIES
Cu 63.55 Cu.upf
Hf 178.49 Hf.upf
In 114.82 In.upf
Te 127.60 Te.upf
CELL_PARAMETERS angstrom
-6.187 -12.789 6.025
1.899 0.745 3.532
-8.643 5.795 3.425
ATOMIC_POSITIONS angstrom
Cu -2.555 -5.419 6.050
Cu -2.141 2.772 4.100
Cu -10.790 -9.021 8.883
Cu -10.376 -0.830 6.932
Hf -1.204 1.053 1.603
Hf -5.450 -4.569 5.072
Hf -7.480 -1.680 7.910
Hf -11.726 -7.302 11.379
In -4.413 -9.001 5.450
In -4.971 -0.158 3.884
In -7.959 -6.091 9.098
In -8.518 2.752 7.533
Te -4.748 -10.665 8.337
Te -3.026 -4.261 3.704
Te -1.584 0.194 4.344
Te -4.722 -6.171 7.374
Te -8.403 -9.124 7.621
Te -4.854 -2.126 6.592
Te -8.076 -4.123 6.390
Te -4.528 2.876 5.361
Te -8.208 -0.078 5.608
Te -11.346 -6.442 8.638
Te -9.904 -1.988 9.278
Te -8.182 4.416 4.646
! - calculated total energy (eV per atom) = -4.7936